Record 1
This record from the Alexandria database describes a geometry-optimized Sm4Te2IrBr structure. The functional is GGA-PBE.

ΔE_f (raw) = -27.3 kcal/mol of atoms
N(E_F) = 5.3 states/eV/f.u.

Cell: 7.634 4.216 7.699 Å, 90.00 107.81 90.00°
Space group P2/m (No. 10)
Asymmetric unit:
Sm  0.208  0.000  0.209 [2 per cell]
Sm  0.229  0.500  0.766 [2 per cell]
Te  0.000  0.000  0.500 [1 per cell]
Te  0.500  0.500  0.500 [1 per cell]
Ir  0.000  0.500  0.000 [1 per cell]
Br  0.500  0.000  0.000 [1 per cell]

=====

Record 2
This record from the Alexandria database describes a geometry-optimized SmThIrBr structure. The functional is GGA-PBE.

ΔE_f (raw) = -24.9 kcal/mol of atoms
N(E_F) = 2.5 states/eV/f.u.

Cell: 4.1737 4.1737 23.7807 Å, 90.00 90.00 120.00°
Space group R3m (No. 160, hexagonal axes)
Asymmetric unit:
Sm  0.0000  0.0000  0.0000 [3 per cell]
Th  0.0000  0.0000  0.2092 [3 per cell]
Ir  0.0000  0.0000  0.6014 [3 per cell]
Br  0.0000  0.0000  0.7730 [3 per cell]

=====

Record 3
This record from the Alexandria database describes a geometry-optimized SmYIrBr structure. The functional is GGA-PBE.

ΔE_f (raw) = -24.7 kcal/mol of atoms
N(E_F) = 0.9 states/eV/f.u.

Cell: 4.0918 4.0918 23.1567 Å, 90.00 90.00 120.00°
Space group R3m (No. 160, hexagonal axes)
Asymmetric unit:
Sm  0.0000  0.0000  0.0000 [3 per cell]
Y  0.0000  0.0000  0.2066 [3 per cell]
Ir  0.0000  0.0000  0.6023 [3 per cell]
Br  0.0000  0.0000  0.7754 [3 per cell]

=====

Record 4
This record from the Alexandria database describes a geometry-optimized Sm6ZnIr2Br3 structure. The functional is GGA-PBE.

ΔE_f (raw) = -22.3 kcal/mol of atoms
N(E_F) = 7.5 states/eV/f.u.

Cell: 7.186 12.447 8.074 Å, 90.00 107.25 90.00°
Space group C2/m (No. 12)
Asymmetric unit:
Sm  0.215  0.000  0.200 [4 per cell]
Sm  0.243  0.324  0.201 [8 per cell]
Zn  0.000  0.500  0.000 [2 per cell]
Ir  0.000  0.167  0.000 [4 per cell]
Br  0.000  0.000  0.500 [2 per cell]
Br  0.000  0.333  0.500 [4 per cell]

=====

Record 5
This record from the Alexandria database describes a geometry-optimized SnIrBr structure. The functional is GGA-PBE.

ΔE_f (raw) = -1.6 kcal/mol of atoms
N(E_F) = 1.1 states/eV/f.u.

Cell: 5.383 3.830 7.007 Å, 90.00 97.75 90.00°
Space group P2_1/m (No. 11)
Asymmetric unit:
Sn  0.176  0.250  0.131 [2 per cell]
Ir  0.343  0.750  0.889 [2 per cell]
Br  0.265  0.250  0.634 [2 per cell]

=====

Record 6
This record from the Alexandria database describes a geometry-optimized SnIr2Br structure. The functional is GGA-PBE.

E above lowest polymorph = 0.000 eV/atom
ΔE_f (raw) = 15.8 kcal/mol of atoms
N(E_F) = 3.5 states/eV/f.u.

Cell: 4.415 4.415 16.543 Å, 90.00 90.00 90.00°
Space group I-42d (No. 122)
Asymmetric unit:
Sn  0.000  0.000  0.000 [4 per cell]
Ir  0.219  0.250  0.625 [8 per cell]
Br  0.000  0.000  0.500 [4 per cell]